<i>
Computed, not measured: crystalline GaCoSbI2 at its relaxed geometry at the PBE level of DFT.

a = 5.6007 Å, b = 5.6007 Å, c = 4.7301 Å
α = 90.00°, β = 90.00°, γ = 90.00°
Last column: nearest neighbours and their distance in Å.
Element x y z (fractional)
Ga  0.0000  0.0000  0.0000  8 I 3.67, 4 Sb 3.96
Co  0.5000  0.5000  0.5000  2 Sb 2.37
Sb  0.5000  0.5000  0.0000  2 Co 2.37
I  0.0000  0.5000  0.5000  2 Co 2.80
I  0.5000  0.0000  0.5000  2 Co 2.80

## Properties
As for the space group: P4/mmm (123). The calculation puts the density of states at the Fermi level at 1.42 states/eV/f.u. For the total magnetic moment, the calculation gives 0.0000 μB per atom.

<ii>
Computed, not measured: crystalline GaCoSbI2 at its relaxed geometry at the PBE level of DFT.

a = 5.5891 Å, b = 5.5891 Å, c = 5.4508 Å
α = 90.00°, β = 90.00°, γ = 90.00°
Last column: nearest neighbours and their distance in Å.
Element x y z (fractional)
Ga  0.0000  0.0000  0.0000  2 Sb 2.73, 4 I 2.79
Co  0.5000  0.5000  0.5000  8 I 3.90, 4 Sb 3.95
Sb  0.0000  0.0000  0.5000  2 Ga 2.73
I  0.0000  0.5000  0.0000  2 Ga 2.79
I  0.5000  0.0000  0.0000  2 Ga 2.79

## Properties
As for the space group: P4/mmm (123). The calculation puts the density of states at the Fermi level at 7.99 states/eV/f.u. For the total magnetic moment, the calculation gives 0.5621 μB per atom.

The winner here is <i>, beating the second structure by 64.8 kJ/mol of atoms.

<i>
Computed, not measured: crystalline GaCoTeI2 at its relaxed geometry at the PBE level of DFT.

a = 5.5616 Å, b = 5.5616 Å, c = 5.5247 Å
α = 90.00°, β = 90.00°, γ = 90.00°
Last column: nearest neighbours and their distance in Å.
Element x y z (fractional)
Ga  0.0000  0.0000  0.0000  2 Te 2.76, 4 I 2.78
Co  0.5000  0.5000  0.5000  8 I 3.92, 4 Te 3.93
Te  0.0000  0.0000  0.5000  2 Ga 2.76
I  0.0000  0.5000  0.0000  2 Ga 2.78
I  0.5000  0.0000  0.0000  2 Ga 2.78

## Properties
As for the space group: P4/mmm (123). The calculation puts the density of states at the Fermi level at 11.44 states/eV/f.u. For the total magnetic moment, the calculation gives 0.5064 μB per atom.

<ii>
Computed, not measured: crystalline GaCoTeI2 at its relaxed geometry at the PBE level of DFT.

a = 5.5468 Å, b = 5.5468 Å, c = 4.8913 Å
α = 90.00°, β = 90.00°, γ = 90.00°
Last column: nearest neighbours and their distance in Å.
Element x y z (fractional)
Ga  0.0000  0.0000  0.0000  8 I 3.70, 4 Te 3.92
Co  0.5000  0.5000  0.5000  2 Te 2.45
Te  0.5000  0.5000  0.0000  2 Co 2.45
I  0.0000  0.5000  0.5000  2 Co 2.77
I  0.5000  0.0000  0.5000  2 Co 2.77

## Properties
As for the space group: P4/mmm (123). The calculation puts the density of states at the Fermi level at 4.77 states/eV/f.u. For the total magnetic moment, the calculation gives 0.2706 μB per atom.

The winner here is <ii>, beating the second structure by 56.8 kJ/mol of atoms.

<i>
Computed, not measured: crystalline InGa2Co2 at its relaxed geometry at the PBE level of DFT.

a = 3.6244 Å, b = 3.6244 Å, c = 11.5082 Å
α = 90.00°, β = 90.00°, γ = 90.00°
Last column: nearest neighbours and their distance in Å.
Element x y z (fractional)
In  0.0000  0.0000  0.0000  8 Co 2.82
In  0.5000  0.5000  0.5000  8 Co 2.82
Ga  0.0000  0.5000  0.2500  4 Co 2.48, 4 Ga 2.56
Ga  0.0000  0.5000  0.7500  4 Co 2.48, 4 Ga 2.56
Ga  0.5000  0.0000  0.2500  4 Co 2.48, 4 Ga 2.56
Ga  0.5000  0.0000  0.7500  4 Co 2.48, 4 Ga 2.56
Co  0.0000  0.0000  0.3969  1 Co 2.37, 4 Ga 2.48
Co  0.0000  0.0000  0.6031  1 Co 2.37, 4 Ga 2.48
Co  0.5000  0.5000  0.1031  1 Co 2.37, 4 Ga 2.48
Co  0.5000  0.5000  0.8969  1 Co 2.37, 4 Ga 2.48

## Properties
As for the space group: I4/mmm (139). The calculation puts the density of states at the Fermi level at 1.98 states/eV/f.u. For the total magnetic moment, the calculation gives 0.0000 μB per atom.

<ii>
Computed, not measured: crystalline InGa2Co2 at its relaxed geometry at the PBE level of DFT.

a = 7.1330 Å, b = 7.1330 Å, c = 2.7950 Å
α = 90.00°, β = 90.00°, γ = 90.00°
Last column: nearest neighbours and their distance in Å.
Element x y z (fractional)
In  0.0000  0.0000  0.0000  2 In 2.80, 4 Ga 2.80, 8 Co 3.01
In  0.5000  0.5000  0.0000  2 In 2.80, 4 Ga 2.80, 8 Co 3.01
Ga  0.1299  0.3701  0.0000  6 Co 2.50-2.54, 3 Ga 2.62-2.80, 2 In 2.80
Ga  0.3701  0.8701  0.0000  6 Co 2.50-2.54, 3 Ga 2.62-2.80, 2 In 2.80
Ga  0.6299  0.1299  0.0000  6 Co 2.50-2.54, 3 Ga 2.62-2.80, 2 In 2.80
Ga  0.8701  0.6299  0.0000  6 Co 2.50-2.54, 3 Ga 2.62-2.80, 2 In 2.80
Co  0.1647  0.6647  0.5000  6 Ga 2.50-2.54, 2 Co 2.80
Co  0.3353  0.1647  0.5000  6 Ga 2.50-2.54, 2 Co 2.80
Co  0.6647  0.8353  0.5000  6 Ga 2.50-2.54, 2 Co 2.80
Co  0.8353  0.3353  0.5000  6 Ga 2.50-2.54, 2 Co 2.80

## Properties
As for the space group: P4/mbm (127). The calculation puts the density of states at the Fermi level at 1.69 states/eV/f.u. For the total magnetic moment, the calculation gives 0.0000 μB per atom.

The winner here is <ii>, beating the second structure by 2.0 kJ/mol of atoms.